1.
VASP calculation (PBE-GGA) on a relaxed structure of La12GaCu5.

Structure (POSCAR):
```
La12GaCu5
1.0
-4.941 5.076 5.226
4.941 -5.076 5.226
4.941 5.076 -5.226
La Ga Cu
12 1 5
Direct
0.059 0.247 0.812
0.174 0.271 0.444
0.174 0.729 0.903
0.328 0.033 0.705
0.328 0.623 0.295
0.435 0.247 0.188
0.565 0.753 0.812
0.672 0.377 0.705
0.672 0.967 0.295
0.826 0.271 0.097
0.826 0.729 0.556
0.941 0.753 0.188
0.500 0.500 0.000
0.000 0.000 0.000
0.120 0.620 0.500
0.358 0.000 0.358
0.642 0.000 0.642
0.880 0.380 0.500
```

Spin magnetization = 0.0 Bohr magnetons per cell
Space-group type = Immm, No. 71
ΔE_f = -133 meV/atom
Volume = 29.13 A^3/atom
N(E_F) = 1.3176 states/eV per atom
Crystal system = orthorhombic

***

2.
VASP calculation (PBE-GGA) on a relaxed structure of ZrMnRe4.

Structure (POSCAR):
```
ZrMnRe4
1.0
0.000 3.703 3.703
3.703 0.000 3.703
3.703 3.703 0.000
Zr Mn Re
1 1 4
Direct
0.000 0.000 0.000
0.750 0.750 0.750
0.376 0.376 0.376
0.376 0.376 0.873
0.376 0.873 0.376
0.873 0.376 0.376
```

Spin magnetization = 3.8 Bohr magnetons per cell
Space-group type = F-43m, No. 216
ΔE_f = 13 meV/atom
Volume = 16.93 A^3/atom
N(E_F) = 0.8598 states/eV per atom
Crystal system = cubic

***

3.
VASP calculation (PBE-GGA) on a relaxed structure of Pm2Sm3Dy6Y.

Structure (POSCAR):
```
Pm2Sm3Dy6Y
1.0
3.107 -5.378 0.000
3.107 5.378 0.000
-2.063 0.000 11.677
Pm Sm Dy Y
2 3 6 1
Direct
0.167 0.833 0.000
0.833 0.167 0.000
0.000 0.000 0.500
0.333 0.667 0.500
0.667 0.333 0.500
0.083 0.416 0.750
0.250 0.250 0.250
0.416 0.083 0.750
0.584 0.917 0.250
0.750 0.750 0.750
0.917 0.584 0.250
0.500 0.500 0.000
```

Spin magnetization = 0.0 Bohr magnetons per cell
Space-group type = C2/m, No. 12
ΔE_f = 14 meV/atom
Volume = 32.52 A^3/atom
N(E_F) = 1.2515 states/eV per atom
Crystal system = monoclinic

***

4.
VASP calculation (PBE-GGA) on a relaxed structure of KHfZr2.

Structure (POSCAR):
```
KHfZr2
1.0
0.000 3.737 3.737
3.737 0.000 3.737
3.737 3.737 0.000
K Hf Zr
1 1 2
Direct
0.000 0.000 0.000
0.500 0.500 0.500
0.250 0.250 0.250
0.750 0.750 0.750
```

Spin magnetization = 3.1 Bohr magnetons per cell
Space-group type = Fm-3m, No. 225
ΔE_f = 1019 meV/atom
Volume = 26.10 A^3/atom
N(E_F) = 1.1764 states/eV per atom
Crystal system = cubic
Energy above the most stable polymorph in this dataset = 0.00 eV/f.u.

***

Taking the records one at a time from the top gives total energy values of -4.72, -11.24, -4.80, -6.02 eV/atom.